Entry from Alexandria: a relaxed Zr4InS8 crystal (GGA-PBE).

Cell: 7.564 7.564 7.564 Å, 60.00 60.00 60.00°
Sites, in units of the cell vectors:
Zr 0.366 0.901 0.366
Zr 0.366 0.366 0.901
Zr 0.901 0.366 0.366
Zr 0.366 0.366 0.366
S 0.128 0.617 0.128
S 0.614 0.614 0.157
S 0.128 0.128 0.617
S 0.617 0.128 0.128
S 0.128 0.128 0.128
S 0.614 0.157 0.614
S 0.157 0.614 0.614
S 0.614 0.614 0.614
In 0.750 0.750 0.750

Summary:
E = -6.74 eV per atom
DOS at the Fermi energy = 0.54 states/eV/atom
formation energy without anion corrections = -1362.0 meV per atom
energy relative to the lowest polymorph listed for this composition = 59.8 meV per atom
space group = F-43m, No. 216
magnetization = 0.0 μB/cell


Entry from Alexandria: a relaxed ZrInS2 crystal (GGA-PBE).

Cell: 7.596 5.514 5.514 Å, 102.94 121.95 58.05°
Sites, in units of the cell vectors:
S 0.282 0.197 0.140
S 0.782 0.360 0.303
S 0.718 0.803 0.860
S 0.218 0.640 0.697
In 0.250 0.694 0.194
In 0.750 0.306 0.806
Zr 0.250 0.124 0.624
Zr 0.750 0.876 0.376

Summary:
E = -5.76 eV per atom
DOS at the Fermi energy = 0.40 states/eV/atom
formation energy without anion corrections = -872.2 meV per atom
space group = C2/c, No. 15
magnetization = 0.0 μB/cell


Entry from Alexandria: a relaxed ZrInS2 crystal (GGA-PBE).

Cell: 17.328 7.793 7.793 Å, 93.25 112.07 67.93°
Sites, in units of the cell vectors:
In 0.391 0.507 0.117
In 0.121 0.633 0.492
In 0.879 0.367 0.508
In 0.891 0.383 0.993
In 0.621 0.008 0.867
In 0.109 0.617 0.007
In 0.379 0.992 0.133
In 0.609 0.493 0.883
S 0.750 0.186 0.686
S 0.455 0.905 0.721
S 0.718 0.713 0.685
S 0.282 0.287 0.315
S 0.917 0.741 0.056
S 0.545 0.095 0.279
S 0.782 0.185 0.213
S 0.583 0.556 0.241
S 0.218 0.815 0.787
S 0.750 0.636 0.136
S 0.250 0.814 0.314
S 0.955 0.779 0.595
S 0.083 0.259 0.944
S 0.045 0.221 0.405
S 0.417 0.444 0.759
S 0.250 0.364 0.864
Zr 0.832 0.847 0.715
Zr 0.168 0.153 0.285
Zr 0.332 0.785 0.653
Zr 0.832 0.846 0.280
Zr 0.332 0.220 0.654
Zr 0.168 0.154 0.720
Zr 0.668 0.215 0.347
Zr 0.668 0.780 0.346

Summary:
E = -5.76 eV per atom
DOS at the Fermi energy = 0.26 states/eV/atom
formation energy without anion corrections = -877.2 meV per atom
space group = C2/c, No. 15
magnetization = 0.0 μB/cell


Entry from Alexandria: a relaxed ZrInS2 crystal (GGA-PBE).

Cell: 8.355 8.355 8.355 Å, 25.65 25.65 25.65°
Sites, in units of the cell vectors:
S 0.897 0.897 0.897
S 0.103 0.103 0.103
In 0.500 0.500 0.500
Zr 0.000 0.000 0.000

Summary:
E = -5.25 eV per atom
DOS at the Fermi energy = 0.91 states/eV/atom
formation energy without anion corrections = -368.6 meV per atom
space group = R-3m, No. 166
magnetization = 0.0 μB/cell


Entry from Alexandria: a relaxed ZrInS2 crystal (GGA-PBE).

Cell: 6.776 11.843 5.108 Å, 90.00 90.00 90.00°
Sites, in units of the cell vectors:
In 0.547 0.939 0.317
In 0.047 0.561 0.317
In 0.953 0.439 0.817
In 0.453 0.061 0.817
Zr 0.575 0.595 0.144
Zr 0.075 0.905 0.144
Zr 0.425 0.405 0.644
Zr 0.925 0.095 0.644
S 0.621 0.590 0.646
S 0.379 0.410 0.146
S 0.288 0.720 0.144
S 0.212 0.220 0.644
S 0.879 0.090 0.146
S 0.788 0.780 0.144
S 0.712 0.280 0.644
S 0.121 0.910 0.646

Summary:
E = -5.80 eV per atom
DOS at the Fermi energy = 0.45 states/eV/atom
formation energy without anion corrections = -910.9 meV per atom
space group = Pna2_1, No. 33
magnetization = 0.0 μB/cell


Entry from Alexandria: a relaxed ZrIn2S4 crystal (GGA-PBE).

Cell: 6.286 6.286 6.286 Å, 108.07 108.07 112.31°
Each line ends with the local moment (μB).
Sites, in units of the cell vectors:
S 0.807 0.333 0.140  0.01
S 0.667 0.807 0.473  0.01
S 0.333 0.193 0.527  0.01
S 0.193 0.667 0.860  0.01
Zr 0.500 0.500 0.000  0.87
In 0.750 0.250 0.500  0.08
In 0.250 0.750 0.500  0.08

Summary:
E = -4.87 eV per atom
DOS at the Fermi energy = 0.41 states/eV/atom
formation energy without anion corrections = -505.1 meV per atom
space group = I4/m, No. 87
magnetization = 1.8 μB/cell


Entry from Alexandria: a relaxed ZrInS2 crystal (GGA-PBE).

Cell: 3.604 3.604 8.525 Å, 77.80 77.80 60.00°
Sites, in units of the cell vectors:
S 0.062 0.062 0.815
S 0.270 0.270 0.191
Zr 0.666 0.666 0.002
In 0.503 0.503 0.492

Summary:
E = -6.00 eV per atom
DOS at the Fermi energy = 0.53 states/eV/atom
formation energy without anion corrections = -1112.6 meV per atom
space group = R3m, No. 160
magnetization = 0.0 μB/cell


Entry from Alexandria: a relaxed Zr2InS4 crystal (GGA-PBE).

Cell: 3.634 6.311 7.911 Å, 92.14 90.00 90.00°
Sites, in units of the cell vectors:
S 0.500 0.176 0.194
S 0.500 0.824 0.806
S 0.000 0.324 0.808
S 0.000 0.676 0.192
In 0.000 0.000 0.500
Zr 0.000 0.000 0.000
Zr 0.500 0.500 0.000

Summary:
E = -6.50 eV per atom
DOS at the Fermi energy = 0.33 states/eV/atom
formation energy without anion corrections = -1309.3 meV per atom
space group = P2/m, No. 10
magnetization = 0.0 μB/cell


Entry from Alexandria: a relaxed ZrInS2 crystal (GGA-PBE).

Cell: 3.869 3.869 5.525 Å, 90.00 90.00 90.00°
Sites, in units of the cell vectors:
Zr 0.000 0.000 0.500
S 0.500 0.500 0.500
S 0.000 0.000 0.000
In 0.500 0.500 0.000

Summary:
E = -5.60 eV per atom
DOS at the Fermi energy = 0.72 states/eV/atom
formation energy without anion corrections = -710.1 meV per atom
space group = P4/mmm, No. 123
magnetization = 0.0 μB/cell


Entry from Alexandria: a relaxed ZrInS2 crystal (GGA-PBE).

Cell: 3.926 3.926 8.554 Å, 90.00 90.00 120.00°
Each line ends with the local moment (μB).
Sites, in units of the cell vectors:
In 0.000 0.000 0.932  0.01
S 0.667 0.333 0.329  -0.01
S 0.333 0.667 0.739  0.00
Zr 0.333 0.667 0.456  0.41

Summary:
E = -5.67 eV per atom
DOS at the Fermi energy = 0.63 states/eV/atom
formation energy without anion corrections = -784.0 meV per atom
space group = P3m1, No. 156
magnetization = 0.8 μB/cell


Entry from Alexandria: a relaxed Zr2In2S7 crystal (GGA-PBE).

Cell: 6.846 6.873 6.873 Å, 109.20 97.56 97.56°
Sites, in units of the cell vectors:
S 0.753 0.444 0.444
S 0.247 0.556 0.556
S 0.799 0.550 0.948
S 0.500 0.000 0.000
S 0.201 0.450 0.052
S 0.799 0.948 0.550
S 0.201 0.052 0.450
Zr 0.000 0.680 0.320
Zr 0.000 0.320 0.680
In 0.373 0.252 0.252
In 0.627 0.748 0.748

Summary:
E = -5.54 eV per atom
formation energy without anion corrections = -860.5 meV per atom
space group = C2/m, No. 12
magnetization = 0.0 μB/cell


Entry from Alexandria: a relaxed ZrInS2 crystal (GGA-PBE).

Cell: 6.739 6.739 7.332 Å, 62.64 62.64 90.00°
Sites, in units of the cell vectors:
S 0.375 0.459 0.750
S 0.541 0.125 0.250
S 0.209 0.625 0.250
S 0.875 0.791 0.750
In 0.750 0.250 0.500
In 0.000 0.000 0.000
Zr 0.500 0.500 0.000
Zr 0.250 0.750 0.500

Summary:
E = -5.62 eV per atom
DOS at the Fermi energy = 0.91 states/eV/atom
formation energy without anion corrections = -730.9 meV per atom
space group = I-42d, No. 122
magnetization = 0.1 μB/cell


Entry from Alexandria: a relaxed ZrInS2 crystal (GGA-PBE).

Cell: 3.614 8.191 3.613 Å, 89.96 60.01 89.90°
Sites, in units of the cell vectors:
In 0.933 0.145 0.904
S 0.598 0.834 0.566
S 0.267 0.457 0.232
Zr 0.932 0.645 0.899

Summary:
E = -6.01 eV per atom
DOS at the Fermi energy = 0.44 states/eV/atom
formation energy without anion corrections = -1125.5 meV per atom
space group = C2, No. 5
magnetization = 0.0 μB/cell


Entry from Alexandria: a relaxed Zr2In2S crystal (GGA-PBE).

Cell: 6.785 6.785 4.879 Å, 90.00 90.00 90.00°
Sites, in units of the cell vectors:
Zr 0.835 0.665 0.000
Zr 0.335 0.835 0.000
Zr 0.665 0.165 0.000
Zr 0.165 0.335 0.000
In 0.348 0.152 0.500
In 0.152 0.652 0.500
In 0.652 0.848 0.500
In 0.848 0.348 0.500
S 0.500 0.500 0.000
S 0.000 0.000 0.000

Summary:
E = -5.97 eV per atom
DOS at the Fermi energy = 0.53 states/eV/atom
formation energy without anion corrections = -634.8 meV per atom
space group = P4/mbm, No. 127
magnetization = 0.0 μB/cell


Entry from Alexandria: a relaxed ZrInS2 crystal (GGA-PBE).

Cell: 6.269 3.351 18.585 Å, 90.00 90.00 90.00°
Sites, in units of the cell vectors:
Zr 0.030 0.750 0.802
Zr 0.530 0.750 0.698
Zr 0.970 0.250 0.198
Zr 0.470 0.250 0.302
In 0.791 0.750 0.454
In 0.291 0.750 0.046
In 0.709 0.250 0.954
In 0.209 0.250 0.546
S 0.792 0.750 0.289
S 0.862 0.750 0.102
S 0.708 0.250 0.789
S 0.292 0.750 0.211
S 0.638 0.250 0.602
S 0.138 0.250 0.898
S 0.208 0.250 0.711
S 0.362 0.750 0.398

Summary:
E = -5.90 eV per atom
DOS at the Fermi energy = 0.46 states/eV/atom
formation energy without anion corrections = -1014.1 meV per atom
space group = Pnma, No. 62
magnetization = 0.0 μB/cell


Entry from Alexandria: a relaxed Zr3In5S12 crystal (GGA-PBE).

Cell: 13.325 13.325 13.325 Å, 109.47 109.47 109.47°
Each line ends with the local moment (μB).
Sites, in units of the cell vectors:
S 0.773 0.327 0.911  -0.01
S 0.446 0.773 0.862  -0.01
S 0.673 0.446 0.584  -0.01
S 0.554 0.327 0.916  -0.01
S 0.227 0.554 0.638  -0.01
S 0.862 0.273 0.446  -0.01
S 0.446 0.673 0.084  -0.01
S 0.089 0.173 0.227  -0.01
S 0.916 0.827 0.554  -0.01
S 0.084 0.911 0.138  -0.01
S 0.411 0.273 0.327  -0.01
S 0.589 0.727 0.673  -0.01
S 0.673 0.227 0.589  -0.01
S 0.227 0.673 0.089  -0.01
S 0.416 0.362 0.589  -0.01
S 0.727 0.138 0.054  -0.01
S 0.138 0.727 0.554  -0.01
S 0.946 0.362 0.273  -0.01
S 0.173 0.084 0.946  -0.01
S 0.089 0.916 0.362  -0.01
S 0.727 0.589 0.173  -0.01
S 0.911 0.084 0.638  -0.01
S 0.054 0.416 0.827  -0.01
S 0.362 0.416 0.089  -0.01
S 0.411 0.138 0.584  -0.01
S 0.054 0.638 0.727  -0.01
S 0.554 0.227 0.138  -0.01
S 0.273 0.862 0.946  -0.01
S 0.416 0.054 0.327  -0.01
S 0.589 0.862 0.416  -0.01
S 0.773 0.446 0.362  -0.01
S 0.916 0.089 0.862  -0.01
S 0.084 0.173 0.446  -0.01
S 0.827 0.911 0.273  -0.01
S 0.638 0.584 0.911  -0.01
S 0.827 0.916 0.054  -0.01
S 0.173 0.089 0.727  -0.01
S 0.362 0.946 0.773  -0.01
S 0.138 0.411 0.084  -0.01
S 0.946 0.584 0.173  -0.01
S 0.638 0.054 0.227  -0.01
S 0.862 0.589 0.916  -0.01
S 0.273 0.411 0.827  -0.01
S 0.327 0.554 0.416  -0.01
S 0.584 0.946 0.673  -0.01
S 0.911 0.827 0.773  -0.01
S 0.327 0.773 0.411  -0.01
S 0.584 0.638 0.411  -0.01
In 0.750 0.625 0.375  0.02
In 0.000 0.500 0.500  0.01
In 0.000 0.500 0.000  0.01
In 0.500 0.500 0.000  0.01
In 0.875 0.250 0.625  0.02
In 0.000 0.000 0.500  0.01
In 0.500 0.000 0.500  0.01
In 0.750 0.125 0.875  0.02
In 0.125 0.375 0.250  0.02
In 0.375 0.250 0.125  0.02
In 0.250 0.375 0.625  0.02
In 0.375 0.125 0.750  0.02
In 0.875 0.625 0.750  0.02
In 0.500 0.500 0.500  0.01
In 0.000 0.000 0.000  0.01
In 0.125 0.750 0.375  0.02
In 0.625 0.875 0.250  0.02
In 0.250 0.875 0.125  0.02
In 0.625 0.750 0.875  0.02
In 0.500 0.000 0.000  0.01
Zr 0.250 0.625 0.875  0.29
Zr 0.750 0.875 0.625  0.29
Zr 0.125 0.875 0.750  0.29
Zr 0.875 0.750 0.125  0.29
Zr 0.125 0.250 0.875  0.29
Zr 0.625 0.375 0.750  0.29
Zr 0.875 0.125 0.250  0.29
Zr 0.625 0.250 0.375  0.29
Zr 0.750 0.375 0.125  0.29
Zr 0.375 0.750 0.625  0.29
Zr 0.250 0.125 0.375  0.29
Zr 0.375 0.625 0.250  0.29

Summary:
E = -5.18 eV per atom
DOS at the Fermi energy = 0.40 states/eV/atom
formation energy without anion corrections = -741.6 meV per atom
space group = Ia-3d, No. 230
magnetization = 5.3 μB/cell


Entry from Alexandria: a relaxed Zr2InS crystal (GGA-PBE).

Cell: 4.862 4.862 4.862 Å, 60.00 60.00 60.00°
Sites, in units of the cell vectors:
Zr 0.250 0.250 0.250
Zr 0.750 0.750 0.750
In 0.500 0.500 0.500
S 0.000 0.000 0.000

Summary:
E = -6.30 eV per atom
DOS at the Fermi energy = 1.42 states/eV/atom
formation energy without anion corrections = -312.7 meV per atom
energy relative to the lowest polymorph listed for this composition = 576.5 meV per atom
space group = Fm-3m, No. 225
magnetization = 0.0 μB/cell


Entry from Alexandria: a relaxed ZrInS2 crystal (GGA-PBE).

Cell: 11.292 11.292 5.070 Å, 90.00 90.00 160.94°
Sites, in units of the cell vectors:
In 0.318 0.682 0.250
In 0.682 0.318 0.750
Zr 0.937 0.063 0.750
Zr 0.063 0.937 0.250
S 0.830 0.170 0.750
S 0.170 0.830 0.250
S 0.055 0.945 0.750
S 0.945 0.055 0.250

Summary:
E = -5.54 eV per atom
DOS at the Fermi energy = 0.39 states/eV/atom
formation energy without anion corrections = -657.7 meV per atom
space group = Cmcm, No. 63
magnetization = 0.0 μB/cell


Entry from Alexandria: a relaxed ZrInS2 crystal (GGA-PBE).

Cell: 7.114 4.719 11.338 Å, 90.00 90.00 90.00°
Sites, in units of the cell vectors:
Zr 0.592 0.250 0.910
Zr 0.092 0.250 0.590
Zr 0.908 0.750 0.410
Zr 0.408 0.750 0.090
In 0.620 0.750 0.645
In 0.880 0.250 0.145
In 0.120 0.750 0.855
In 0.380 0.250 0.355
S 0.096 0.750 0.227
S 0.197 0.750 0.547
S 0.596 0.750 0.273
S 0.904 0.250 0.773
S 0.303 0.250 0.047
S 0.404 0.250 0.727
S 0.803 0.250 0.453
S 0.697 0.750 0.953

Summary:
E = -5.84 eV per atom
DOS at the Fermi energy = 0.11 states/eV/atom
formation energy without anion corrections = -955.1 meV per atom
space group = Pnma, No. 62
magnetization = 0.0 μB/cell